1.
Co2CuW | the Alexandria database | GGA-PBE | optimized geometry; crystal system = monoclinic; E above lowest polymorph = 0.155 eV per atom
1.0
4.175 -1.317 0.000
4.175 1.317 0.000
-0.775 0.000 4.499
Co Cu W
2 1 1
Cartesian
1.883 0.000 1.097
5.692 0.000 3.402
4.175 0.000 0.000
-0.387 0.000 2.250

***

2.
Co2CuW | the Alexandria database | GGA-PBE | optimized geometry; crystal system = cubic; E above lowest polymorph = 0.281 eV per atom
1.0
0.000 2.918 2.918
2.918 0.000 2.918
2.918 2.918 0.000
Co Cu W
2 1 1
Cartesian
0.000 0.000 0.000
1.459 1.459 1.459
2.918 2.918 2.918
4.377 4.377 4.377

***

3.
CoCuW | the Alexandria database | GGA-PBE | optimized geometry; crystal system = trigonal; E above lowest polymorph = 0.033 eV per atom
1.0
4.121 0.000 0.000
-2.060 3.569 0.000
0.000 0.000 2.594
Co Cu W
1 1 1
Cartesian
0.000 0.000 0.000
2.060 1.190 2.588
0.000 2.379 1.294

***

4.
Co2CuW | the Alexandria database | GGA-PBE | optimized geometry; crystal system = tetragonal; E above lowest polymorph = 0.581 eV per atom
1.0
-3.224 3.224 2.581
3.224 -3.224 2.581
3.224 3.224 -2.581
Co Cu W
4 2 2
Cartesian
4.836 1.534 -0.645
1.534 1.612 0.645
-1.612 1.690 1.936
1.690 1.612 3.226
3.224 0.000 1.290
0.000 0.000 2.581
0.000 0.000 0.000
0.000 3.224 1.290

***

5.
CoCuW3 | the Alexandria database | GGA-PBE | optimized geometry; crystal system = cubic; E above lowest polymorph = 0.000 eV per atom
1.0
4.436 0.000 0.000
0.000 4.436 0.000
0.000 0.000 4.436
Co Cu W
1 1 3
Cartesian
0.000 0.000 0.000
2.218 2.218 2.218
0.000 0.000 2.218
0.000 2.218 0.000
2.218 0.000 0.000

***

6.
Co2CuW | the Alexandria database | GGA-PBE | optimized geometry; crystal system = tetragonal; E above lowest polymorph = 0.000 eV per atom
1.0
-1.876 1.876 3.421
1.876 -1.876 3.421
1.876 1.876 -3.421
Co Cu W
2 1 1
Cartesian
1.876 0.000 1.710
0.000 1.876 1.710
0.000 0.000 0.000
0.000 0.000 3.421

***

Number 1: E_form 0.2081 eV per atom, final energy -30.43 eV for the cell shown, spin magnetization 0.3746 μB/atom. Number 2: E_form 0.3334 eV per atom, final energy -29.93 eV for the cell shown, spin magnetization 0.6011 μB/atom. Number 3: E_form 0.1944 eV per atom, final energy -23.57 eV for the cell shown, spin magnetization 0.0000 μB/atom. Number 4: E_form 0.6335 eV per atom, final energy -57.45 eV for the cell shown, spin magnetization 0.0000 μB/atom. Number 5: E_form 1.5334 eV per atom, final energy -42.39 eV for the cell shown, spin magnetization 0.0000 μB/atom. Number 6: E_form 0.0528 eV per atom, final energy -31.05 eV for the cell shown, spin magnetization 0.0000 μB/atom.